[1]
This record from Alexandria describes a relaxed structure of TiP2BrO. The functional is PBE-GGA.

Results
final energy = -20.9 eV per cell
crystal system = tetragonal
magnetic moment = 0.000 μB/atom
DOS(E_F) = 4.40 states/eV per cell

a = 4.844 Å, b = 4.844 Å, c = 3.703 Å
α = 90.00°, β = 90.00°, γ = 90.00°
Fractional positions:
1 Ti 0.000 0.000 0.000
2 P 0.000 0.500 0.500
3 P 0.500 0.000 0.500
4 Br 0.500 0.500 0.500
5 O 0.500 0.500 0.000

---

[2]
This record from Alexandria describes a relaxed structure of TlP2BrO. The functional is PBE-GGA.

Results
final energy = -14.9 eV per cell
crystal system = tetragonal
magnetic moment = 0.000 μB/atom
DOS(E_F) = 3.92 states/eV per cell

a = 5.017 Å, b = 5.017 Å, c = 4.032 Å
α = 90.00°, β = 90.00°, γ = 90.00°
Fractional positions:
1 Tl 0.000 0.000 0.000
2 P 0.000 0.500 0.500
3 P 0.500 0.000 0.500
4 Br 0.500 0.500 0.500
5 O 0.500 0.500 0.000

---

[3]
This record from Alexandria describes a relaxed structure of TlP2BrO. The functional is PBE-GGA.

Results
final energy = -14.6 eV per cell
crystal system = tetragonal
magnetic moment = 0.304 μB/atom
DOS(E_F) = 5.06 states/eV per cell

a = 5.292 Å, b = 5.292 Å, c = 4.203 Å
α = 90.00°, β = 90.00°, γ = 90.00°
Fractional positions:
1 Tl 0.000 0.000 0.000
2 P 0.000 0.500 0.000
3 P 0.500 0.000 0.000
4 Br 0.500 0.500 0.500
5 O 0.000 0.000 0.500

---

[4]
This record from Alexandria describes a relaxed structure of UP2BrO8. The functional is PBE-GGA.

Results
final energy = -89.9 eV per cell
crystal system = monoclinic
magnetic moment = 0.083 μB/atom

a = 5.600 Å, b = 5.600 Å, c = 8.899 Å
α = 104.86°, β = 104.86°, γ = 60.11°
Fractional positions:
1 U 0.000 0.000 0.000
2 P 0.281 0.281 0.794
3 P 0.719 0.719 0.206
4 Br 0.000 0.000 0.500
5 O 0.155 0.602 0.850
6 O 0.163 0.163 0.880
7 O 0.219 0.219 0.615
8 O 0.398 0.845 0.150
9 O 0.602 0.155 0.850
10 O 0.781 0.781 0.385
11 O 0.837 0.837 0.120
12 O 0.845 0.398 0.150